*w*
This record from Alexandria describes a geometry-optimized BaTlSn2 structure. The functional is PBE.

Output
density of states at the Fermi level: 2.6 states/eV per cell
space-group type: P4/mmm

a b c (Å): 5.192 4.974 4.974
angles (deg): 90.00 90.00 90.00
Element x y z (fractional)
Sn  0.000  0.500  0.000
Sn  0.000  0.000  0.500
Ba  0.500  0.500  0.500
Tl  0.500  0.000  0.000

***

*x*
This record from Alexandria describes a geometry-optimized BaTlSn2 structure. The functional is PBE.

Output
density of states at the Fermi level: 2.0 states/eV per cell
space-group type: R-3m

a b c (Å): 5.282 5.282 6.641
angles (deg): 66.57 66.57 60.00
Element x y z (fractional)
Sn  0.210  0.210  0.370
Sn  0.790  0.790  0.630
Tl  0.500  0.500  0.500
Ba  0.000  0.000  0.000

***

*y*
This record from Alexandria describes a geometry-optimized BaTlSn2 structure. The functional is PBE.

Output
density of states at the Fermi level: 2.8 states/eV per cell
space-group type: I-42d

a b c (Å): 5.310 5.310 11.344
angles (deg): 76.46 76.46 90.00
Element x y z (fractional)
Ba  0.500  0.500  0.000
Ba  0.250  0.750  0.500
Sn  0.027  0.625  0.250
Sn  0.375  0.277  0.750
Sn  0.875  0.973  0.750
Sn  0.723  0.125  0.250
Tl  0.000  0.000  0.000
Tl  0.750  0.250  0.500

***

*z*
This record from Alexandria describes a geometry-optimized BaTlSn2 structure. The functional is PBE.

Output
density of states at the Fermi level: 5.7 states/eV per cell
space-group type: Pnma

a b c (Å): 7.039 8.490 9.191
angles (deg): 90.00 90.00 90.00
Element x y z (fractional)
Sn  0.970  0.672  0.511
Sn  0.530  0.172  0.989
Sn  0.470  0.828  0.011
Sn  0.470  0.328  0.489
Sn  0.970  0.172  0.989
Sn  0.530  0.672  0.511
Sn  0.030  0.828  0.011
Sn  0.030  0.328  0.489
Tl  0.250  0.548  0.241
Tl  0.750  0.952  0.741
Tl  0.750  0.452  0.759
Tl  0.250  0.048  0.259
Ba  0.250  0.495  0.829
Ba  0.750  0.005  0.329
Ba  0.750  0.505  0.171
Ba  0.250  0.995  0.671

***

The least stable of them is *y*.

***

*w*
This record from Alexandria describes a geometry-optimized Ba4Tl2Sn structure. The functional is PBE.

Output
density of states at the Fermi level: 7.1 states/eV per cell
space-group type: R-3m

a b c (Å): 6.045 6.045 10.428
angles (deg): 73.15 73.15 60.00
Element x y z (fractional)
Ba  0.878  0.878  0.367
Ba  0.374  0.374  0.878
Ba  0.626  0.626  0.122
Ba  0.122  0.122  0.633
Sn  0.000  0.000  0.000
Tl  0.750  0.750  0.751
Tl  0.250  0.250  0.249

***

*x*
This record from Alexandria describes a geometry-optimized Ba4Tl2Sn structure. The functional is PBE.

Output
density of states at the Fermi level: 11.0 states/eV per cell
space-group type: I4/mmm

a b c (Å): 6.732 6.732 9.774
angles (deg): 69.86 69.86 90.00
Element x y z (fractional)
Tl  0.403  0.403  0.193
Tl  0.597  0.597  0.807
Ba  0.000  0.500  0.000
Ba  0.500  0.000  0.000
Ba  0.197  0.197  0.606
Ba  0.803  0.803  0.394
Sn  0.000  0.000  0.000

***

*y*
This record from Alexandria describes a geometry-optimized Ba4Tl2Sn structure. The functional is PBE.

Output
density of states at the Fermi level: 12.0 states/eV per cell
space-group type: P1

a b c (Å): 9.408 9.406 9.392
angles (deg): 107.18 117.69 103.81
Element x y z (fractional)
Ba  0.977  0.786  0.153
Ba  0.910  0.651  0.666
Ba  0.323  0.510  0.226
Ba  0.493  0.131  0.310
Ba  0.265  0.099  0.758
Ba  0.965  0.240  0.312
Ba  0.618  0.964  0.692
Ba  0.428  0.618  0.862
Tl  0.703  0.466  0.183
Tl  0.723  0.875  0.348
Tl  0.967  0.284  0.738
Tl  0.644  0.375  0.770
Sn  0.167  0.676  0.491
Sn  0.066  0.075  0.992

***

The least stable of them is *x*.

***

*w*
This record from Alexandria describes a geometry-optimized Ba2Tl3Sn2 structure. The functional is PBE.

Output
density of states at the Fermi level: 4.5 states/eV per cell
space-group type: C2/m

a b c (Å): 5.015 6.724 8.105
angles (deg): 106.01 90.00 111.90
Element x y z (fractional)
Ba  0.136  0.271  0.772
Ba  0.864  0.729  0.228
Tl  0.500  0.000  0.000
Tl  0.387  0.774  0.563
Tl  0.613  0.226  0.437
Sn  0.839  0.678  0.757
Sn  0.161  0.322  0.243

***

*x*
This record from Alexandria describes a geometry-optimized Ba2Tl3Sn2 structure. The functional is PBE.

Output
density of states at the Fermi level: 4.1 states/eV per cell
space-group type: C2/m

a b c (Å): 5.108 6.696 7.942
angles (deg): 97.33 90.00 112.42
Element x y z (fractional)
Tl  0.689  0.379  0.865
Tl  0.311  0.621  0.135
Tl  0.000  0.000  0.000
Sn  0.091  0.182  0.635
Sn  0.909  0.818  0.365
Ba  0.379  0.759  0.685
Ba  0.621  0.241  0.315

***

The least stable of them is *x*.

***

*w*
This record from Alexandria describes a geometry-optimized BaTl2Sn2 structure. The functional is PBE.

Output
density of states at the Fermi level: 4.7 states/eV per cell
space-group type: P4/mbm

a b c (Å): 9.127 9.127 3.862
angles (deg): 90.00 90.00 90.00
Element x y z (fractional)
Ba  0.500  0.500  0.000
Ba  0.000  0.000  0.000
Sn  0.663  0.837  0.500
Sn  0.163  0.663  0.500
Sn  0.837  0.337  0.500
Sn  0.337  0.163  0.500
Tl  0.629  0.129  0.000
Tl  0.371  0.871  0.000
Tl  0.871  0.629  0.000
Tl  0.129  0.371  0.000

***

*x*
This record from Alexandria describes a geometry-optimized BaTl2Sn2 structure. The functional is PBE.

Output
density of states at the Fermi level: 2.7 states/eV per cell
space-group type: I4/mmm

a b c (Å): 5.072 5.072 7.623
angles (deg): 70.57 70.57 90.00
Element x y z (fractional)
Sn  0.392  0.392  0.217
Sn  0.608  0.608  0.783
Tl  0.250  0.750  0.500
Tl  0.750  0.250  0.500
Ba  0.000  0.000  0.000

***

*y*
This record from Alexandria describes a geometry-optimized BaTl2Sn2 structure. The functional is PBE.

Output
density of states at the Fermi level: 6.4 states/eV per cell
space-group type: P4/mbm

a b c (Å): 9.108 9.108 3.932
angles (deg): 90.00 90.00 90.00
Element x y z (fractional)
Sn  0.121  0.379  0.000
Sn  0.879  0.621  0.000
Sn  0.621  0.121  0.000
Sn  0.379  0.879  0.000
Tl  0.667  0.833  0.500
Tl  0.167  0.667  0.500
Tl  0.833  0.333  0.500
Tl  0.333  0.167  0.500
Ba  0.000  0.000  0.000
Ba  0.500  0.500  0.000

***

The least stable of them is *y*.

***

*w*
This record from Alexandria describes a geometry-optimized Ba2Tl7Sn structure. The functional is PBE.

Output
density of states at the Fermi level: 9.5 states/eV per cell
space-group type: Fm-3m

a b c (Å): 8.390 8.390 8.390
angles (deg): 60.00 60.00 60.00
Element x y z (fractional)
Tl  0.753  0.753  0.247
Tl  0.247  0.753  0.753
Tl  0.753  0.247  0.753
Tl  0.500  0.500  0.500
Tl  0.247  0.753  0.247
Tl  0.247  0.247  0.753
Tl  0.753  0.247  0.247
Sn  0.000  0.000  0.000
Ba  0.750  0.750  0.750
Ba  0.250  0.250  0.250

***

*x*
This record from Alexandria describes a geometry-optimized Ba2Tl7Sn structure. The functional is PBE.

Output
density of states at the Fermi level: 3.9 states/eV per cell
space-group type: C222

a b c (Å): 5.378 5.378 12.103
angles (deg): 90.00 90.00 89.88
Element x y z (fractional)
Ba  0.500  0.000  0.760
Ba  0.000  0.500  0.240
Tl  0.000  0.500  0.629
Tl  0.000  0.000  0.500
Tl  0.500  0.000  0.371
Tl  0.000  0.000  0.000
Tl  0.500  0.500  0.500
Tl  0.500  0.000  0.126
Tl  0.000  0.500  0.874
Sn  0.500  0.500  0.000

***

The least stable of them is *w*.

***

*w*
This record from Alexandria describes a geometry-optimized Ba8Tl2Sn structure. The functional is PBE.

Output
density of states at the Fermi level: 9.1 states/eV per cell
space-group type: C2/m

a b c (Å): 6.069 8.604 11.060
angles (deg): 109.27 105.93 90.00
Element x y z (fractional)
Ba  0.404  0.560  0.807
Ba  0.029  0.789  0.057
Ba  0.334  0.045  0.667
Ba  0.971  0.211  0.943
Ba  0.800  0.697  0.600
Ba  0.596  0.440  0.193
Ba  0.200  0.303  0.400
Ba  0.666  0.955  0.333
Sn  0.500  0.000  0.000
Tl  0.182  0.694  0.364
Tl  0.818  0.306  0.636

***

*x*
This record from Alexandria describes a geometry-optimized Ba8Tl2Sn structure. The functional is PBE.

Output
density of states at the Fermi level: 10.0 states/eV per cell
space-group type: Immm

a b c (Å): 5.887 9.734 10.413
angles (deg): 117.86 106.42 90.00
Element x y z (fractional)
Ba  0.000  0.318  0.000
Ba  0.140  0.140  0.280
Ba  0.000  0.682  0.000
Ba  0.657  0.436  0.314
Ba  0.343  0.122  0.686
Ba  0.860  0.860  0.720
Ba  0.343  0.564  0.686
Ba  0.657  0.878  0.314
Tl  0.809  0.309  0.618
Tl  0.191  0.691  0.382
Sn  0.500  0.000  0.000

***

The least stable of them is *x*.